Record 1
Entry from Alexandria: a geometry-optimized TlCrRu2 structure (PBEsol).

Magnetization ... 0.344 μB per atom
Polymorph energy (0 for the lowest one) ... 8 meV/atom
Symmetry ... Immm

Cell lengths 5.270, 5.270, 5.270 Å; angles 148.50, 127.96, 62.11 degrees
Positions (direct):
Tl  0.000  0.000  0.000
Cr  0.500  0.500  0.000
Ru  0.279  0.779  0.500
Ru  0.721  0.221  0.500



Record 2
Entry from Alexandria: a geometry-optimized CrRuW2 structure (PBEsol).

Magnetization ... 0.000 μB per atom
Polymorph energy (0 for the lowest one) ... 108 meV/atom
Symmetry ... I-4m2

Cell lengths 4.810, 4.810, 4.810 Å; angles 133.88, 133.88, 67.28 degrees
Positions (direct):
Cr  0.000  0.000  0.000
Ru  0.750  0.250  0.500
W  0.250  0.750  0.500
W  0.500  0.500  0.000



Record 3
Entry from Alexandria: a geometry-optimized CrRuW2 structure (PBEsol).

Magnetization ... 0.001 μB per atom
Polymorph energy (0 for the lowest one) ... 0 meV/atom
Symmetry ... Cmmm

Cell lengths 2.678, 2.678, 8.428 Å; angles 90.00, 90.00, 110.65 degrees
Positions (direct):
Cr  0.000  0.000  0.000
Ru  0.000  0.000  0.500
W  0.500  0.500  0.242
W  0.500  0.500  0.758



Record 4
Entry from Alexandria: a geometry-optimized ZrCrRuW2 structure (PBEsol).

Magnetization ... 0.731 μB per atom
Final energy ... -48.91 eV/cell
Symmetry ... P4/mmm

Cell lengths 4.663, 4.663, 4.815 Å; angles 90.00, 90.00, 90.00 degrees
Positions (direct):
Zr  0.000  0.000  0.000
Cr  0.500  0.500  0.000
Ru  0.000  0.000  0.500
W  0.000  0.500  0.500
W  0.500  0.000  0.500



Record 5
Entry from Alexandria: a geometry-optimized YCr2Ru structure (PBEsol).

Magnetization ... 0.000 μB per atom
Final energy ... -36.09 eV/cell
Symmetry ... C2/m

Cell lengths 4.973, 4.973, 4.829 Å; angles 105.95, 105.95, 35.17 degrees
Positions (direct):
Y  0.000  0.000  0.000
Cr  0.222  0.222  0.638
Cr  0.778  0.778  0.362
Ru  0.500  0.500  0.500



Record 6
Entry from Alexandria: a geometry-optimized YCrRu3 structure (PBEsol).

Magnetization ... 0.210 μB per atom
Final energy ... -36.22 eV/cell
Symmetry ... Pm-3m

Cell lengths 4.675, 4.675, 4.675 Å; angles 90.00, 90.00, 90.00 degrees
Positions (direct):
Y  0.000  0.000  0.000
Cr  0.500  0.500  0.500
Ru  0.000  0.000  0.500
Ru  0.000  0.500  0.000
Ru  0.500  0.000  0.000